6
Lattice="0.000 3.812 3.812 3.812 0.000 3.812 3.812 3.812 0.000" Properties=species:S:1:pos:R:3 comment="SrPt4Rh (PBE-GGA, optimized geometry)" energy_ev_per_cell=-34.62 ef_mev_per_atom=-237 rho_g_cm3=14.56 spacegroup="F-43m (216)" pbc="T T T"
Sr 0.000 0.000 0.000
Pt 4.760 2.863 2.863
Pt 2.863 4.760 2.863
Pt 2.863 2.863 4.760
Pt 4.760 4.760 4.760
Rh 1.906 1.906 1.906